No. 1
VASP calculation (PBE-GGA) on a geometry-optimized Sm2Zn17 structure.

Computed properties:
M_tot ... 0.02 μB/cell
V ... 613 Å³ per cell
DFT formation energy ... -255 meV per atom

Cell: 8.982 8.982 8.774 Å, 90.00 90.00 120.00°
Sites, in units of the cell vectors:
Sm 0.000 0.000 0.250
Sm 0.000 0.000 0.750
Sm 0.333 0.667 0.250
Sm 0.667 0.333 0.750
Zn 0.000 0.500 0.000
Zn 0.000 0.500 0.500
Zn 0.040 0.369 0.750
Zn 0.040 0.671 0.750
Zn 0.162 0.324 0.021
Zn 0.162 0.324 0.479
Zn 0.162 0.838 0.021
Zn 0.162 0.838 0.479
Zn 0.324 0.162 0.521
Zn 0.324 0.162 0.979
Zn 0.329 0.369 0.750
Zn 0.329 0.960 0.750
Zn 0.333 0.667 0.602
Zn 0.333 0.667 0.898
Zn 0.369 0.040 0.250
Zn 0.369 0.329 0.250
Zn 0.500 0.000 0.000
Zn 0.500 0.000 0.500
Zn 0.500 0.500 0.000
Zn 0.500 0.500 0.500
Zn 0.631 0.671 0.750
Zn 0.631 0.960 0.750
Zn 0.667 0.333 0.102
Zn 0.667 0.333 0.398
Zn 0.671 0.040 0.250
Zn 0.671 0.631 0.250
Zn 0.676 0.838 0.021
Zn 0.676 0.838 0.479
Zn 0.838 0.162 0.521
Zn 0.838 0.162 0.979
Zn 0.838 0.676 0.521
Zn 0.838 0.676 0.979
Zn 0.960 0.329 0.250
Zn 0.960 0.631 0.250

No. 2
VASP calculation (PBE-GGA) on a geometry-optimized SmZn structure.

Computed properties:
M_tot ... 0.00 μB/cell
V ... 238 Å³ per cell
DFT formation energy ... -208 meV per atom

Cell: 4.970 9.813 9.813 Å, 150.24 90.00 90.00°
Sites, in units of the cell vectors:
Sm 0.000 0.000 0.000
Sm 0.000 0.193 0.815
Sm 0.000 0.815 0.193
Sm 0.500 0.334 0.677
Sm 0.500 0.677 0.334
Zn 0.000 0.417 0.584
Zn 0.000 0.584 0.417
Zn 0.500 0.091 0.921
Zn 0.500 0.501 0.501
Zn 0.500 0.921 0.091

No. 3
VASP calculation (PBE-GGA) on a geometry-optimized SmZn structure.

Computed properties:
M_tot ... 1.08 μB/cell
V ... 199 Å³ per cell
DFT formation energy ... -121 meV per atom

Cell: 6.763 5.433 5.422 Å, 90.00 90.00 90.00°
Sites, in units of the cell vectors:
Sm 0.169 0.004 0.250
Sm 0.169 0.496 0.750
Sm 0.831 0.504 0.250
Sm 0.831 0.996 0.750
Zn 0.383 0.507 0.250
Zn 0.383 0.993 0.750
Zn 0.617 0.007 0.250
Zn 0.617 0.493 0.750

No. 4
VASP calculation (PBE-GGA) on a geometry-optimized SmZn structure.

Computed properties:
M_tot ... 0.03 μB/cell
V ... 190 Å³ per cell
DFT formation energy ... -279 meV per atom

Cell: 6.441 4.706 6.262 Å, 90.00 90.00 90.00°
Sites, in units of the cell vectors:
Sm 0.148 0.250 0.136
Sm 0.352 0.750 0.636
Sm 0.648 0.250 0.364
Sm 0.852 0.750 0.864
Zn 0.060 0.250 0.620
Zn 0.440 0.750 0.120
Zn 0.560 0.250 0.880
Zn 0.940 0.750 0.380